Crystalline CuSi3 at its relaxed geometry, computed with GGA-PBE.

Lattice parameters (Å, degrees): 7.0948 5.7401 5.8175 90.00 90.00 90.00
Last column: nearest neighbours and their distance in Å.
Space group Pnma (No. 62)
Unique sites:
Cu: 0.0465 0.2500 0.0826 [4 per cell]  7 Si 2.41-2.54
Si: 0.0315 0.2500 0.6687 [4 per cell]  1 Cu 2.41, 6 Si 2.54-2.62
Si: 0.2388 0.0352 0.3827 [8 per cell]  4 Si 2.47-2.62, 3 Cu 2.51-2.54

Raw total energy: -4.80 eV/atom
Formation energy from raw total energies: 295 meV/atom

Crystalline LiMgCd2 at its relaxed geometry, computed with GGA-PBE.

Lattice parameters (Å, degrees): 3.3429 3.3429 7.0460 90.00 90.00 90.00
Last column: nearest neighbours and their distance in Å.
Space group P4/mmm (No. 123)
Unique sites:
Li: 0.0000 0.0000 0.0000 [1 per cell]  8 Cd 2.85
Mg: 0.0000 0.0000 0.5000 [1 per cell]  8 Cd 3.05, 4 Mg 3.34
Cd: 0.5000 0.5000 0.2260 [2 per cell]  4 Li 2.85, 4 Mg 3.05, 1 Cd 3.19

Raw total energy: -1.54 eV/atom
Calculated formation energy: -0.2014 eV/atom

Crystalline FeSbAu2N at its relaxed geometry, computed with GGA-PBE.

Lattice parameters (Å, degrees): 5.1256 5.1256 3.4069 90.00 90.00 90.00
Last column: nearest neighbours and their distance in Å.
Space group P4/mmm (No. 123)
Unique sites:
Fe: 0.0000 0.0000 0.0000 [1 per cell]  2 N 1.70
Sb: 0.5000 0.5000 0.5000 [1 per cell]  8 Au 3.08, 2 Sb 3.41
Au: 0.0000 0.5000 0.0000 [2 per cell]  2 Fe 2.56
N: 0.0000 0.0000 0.5000 [1 per cell]  2 Fe 1.70

Raw total energy: -5.09 eV/atom
Formation energy from raw total energies: 403 meV/atom